The following is a DFT calculation (GGA-PBE) of crystalline HoPuTlBr6 at its relaxed geometry. Values from VASP.

Calculated values
Its uncorrected formation energy is -1.5036 eV/atom. The density comes out at 5133 kg/m³. The magnetization comes out at 0.67 μB per atom. For the total energy, the calculation gives -4.983 eV per atom.

Cell and atoms, written as Quantum ESPRESSO input:
```
&SYSTEM
  ibrav = 0, nat = 18, ntyp = 4
/
ATOMIC_SPECIES
Ho 164.93 Ho.upf
Pu 244.00 Pu.upf
Tl 204.38 Tl.upf
Br 79.90 Br.upf
ATOMIC_POSITIONS crystal
Ho 0.667 0.333 0.250
Ho 0.333 0.667 0.750
Pu 0.333 0.667 0.250
Pu 0.667 0.333 0.750
Tl 0.000 0.000 0.000
Tl 0.000 0.000 0.500
Br 0.644 0.626 0.137
Br 0.982 0.356 0.137
Br 0.356 0.982 0.637
Br 0.018 0.644 0.863
Br 0.374 0.356 0.363
Br 0.982 0.626 0.363
Br 0.626 0.982 0.863
Br 0.644 0.018 0.363
Br 0.018 0.374 0.637
Br 0.374 0.018 0.137
Br 0.626 0.644 0.637
Br 0.356 0.374 0.863
CELL_PARAMETERS angstrom
-0.615 -5.817 4.657
4.351 5.801 1.820
-11.342 6.450 6.558
```